(1)
## Dy7Er3Tl2 (GGA-PBE)

Data for an optimized crystal structure of Dy7Er3Tl2.

Cell: 5.588 3.592 18.340 Å, 90.00 93.71 90.00°
Space group P2/m (No. 10)
Unique sites:
Dy 0.000 0.000 0.000 x1
Dy 0.166 0.500 0.172 x2
Dy 0.258 0.500 0.541 x2
Dy 0.336 0.000 0.853 x2
Er 0.223 0.000 0.368 x2
Er 0.500 0.500 0.000 x1
Tl 0.298 0.500 0.708 x2

Values from the calculation:
- spin magnetization (μB/cell) = 0.000
- total DFT energy (no corrections) (eV per cell) = -50.8

(2)
## Dy6ErTl3 (GGA-PBE)

Data for an optimized crystal structure of Dy6ErTl3.

Cell: 10.219 5.178 11.406 Å, 90.00 102.62 90.00°
Space group P2_1/m (No. 11)
Unique sites:
Dy 0.065 0.250 0.408 x2
Dy 0.154 0.750 0.183 x2
Dy 0.233 0.250 0.989 x2
Dy 0.307 0.750 0.786 x2
Dy 0.382 0.250 0.293 x2
Dy 0.391 0.250 0.604 x2
Er 0.460 0.750 0.096 x2
Tl 0.033 0.750 0.890 x2
Tl 0.114 0.250 0.696 x2
Tl 0.288 0.750 0.462 x2

Values from the calculation:
- spin magnetization (μB/cell) = 0.000
- total DFT energy (no corrections) (eV per cell) = -82.4

(3)
## Dy2ErTl (GGA-PBE)

Data for an optimized crystal structure of Dy2ErTl.

Cell: 3.595 3.595 9.175 Å, 90.00 90.00 90.00°
Space group P4/mmm (No. 123)
Unique sites:
Dy 0.000 0.000 0.231 x2
Er 0.500 0.500 0.500 x1
Tl 0.500 0.500 0.000 x1

Values from the calculation:
- offset from the most stable computed form (eV per atom) = 0.0168
- spin magnetization (μB/cell) = 0.000